<P>
## Cu2ReRhO (GGA-PBE)

Data for a relaxed Cu2ReRhO crystal.

## Properties
ρ = 7.2 Mg/m³
SG = P4/mmm (123)
Crystal system = tetragonal

Lattice parameters (Å, degrees): 4.662 4.603 4.662 90.00 90.00 90.00
Element x y z (fractional)
Re  0.000  0.000  0.000
Rh  0.000  0.500  0.000
O  0.500  0.500  0.500
Cu  0.000  0.000  0.500
Cu  0.500  0.000  0.000

<Q>
## Cu2ReRhO (GGA-PBE)

Data for a relaxed Cu2ReRhO crystal.

## Properties
ρ = 11.3 Mg/m³
SG = P4/mmm (123)
Crystal system = tetragonal

Lattice parameters (Å, degrees): 4.042 3.901 4.042 90.00 90.00 90.00
Element x y z (fractional)
Re  0.000  0.500  0.000
Rh  0.500  0.500  0.500
O  0.000  0.000  0.000
Cu  0.000  0.000  0.500
Cu  0.500  0.000  0.000

Computed relative energies in units of eV/atom: <P> 1.584; <Q> 0.000

<P>
## CuRu3O (GGA-PBE)

Data for a relaxed CuRu3O crystal.

## Properties
ρ = 6.8 Mg/m³
SG = Pm-3m (221)
Crystal system = cubic

Lattice parameters (Å, degrees): 4.537 4.537 4.537 90.00 90.00 90.00
Each line ends with the local moment (μB).
Element x y z (fractional)
Ru  0.000  0.500  0.000  2.28
Ru  0.000  0.000  0.500  2.61
Ru  0.500  0.000  0.000  1.83
O  0.500  0.500  0.500  0.88
Cu  0.000  0.000  0.000  0.26

<Q>
## CuRu3O (GGA-PBE)

Data for a relaxed CuRu3O crystal.

## Properties
ρ = 9.8 Mg/m³
SG = Pm-3m (221)
Crystal system = cubic

Lattice parameters (Å, degrees): 4.025 4.025 4.025 90.00 90.00 90.00
Each line ends with the local moment (μB).
Element x y z (fractional)
Ru  0.000  0.500  0.000  0.39
Ru  0.000  0.000  0.500  0.24
Ru  0.500  0.000  0.000  0.50
O  0.000  0.000  0.000  -0.01
Cu  0.500  0.500  0.500  0.14

Computed relative energies in units of eV/atom: <P> 1.802; <Q> 0.000

<P>
## Cu2S3O12 (GGA-PBE)

Data for a relaxed Cu2S3O12 crystal.

## Properties
ρ = 3.0 Mg/m³
SG = C2/c (15)
Crystal system = monoclinic

Lattice parameters (Å, degrees): 8.122 8.122 9.703 59.84 59.84 61.05
Element x y z (fractional)
Cu  0.369  0.860  0.956
Cu  0.860  0.369  0.456
Cu  0.140  0.631  0.544
Cu  0.631  0.140  0.044
S  0.747  0.538  0.843
S  0.538  0.747  0.343
S  0.012  0.988  0.750
S  0.988  0.012  0.250
S  0.462  0.253  0.657
S  0.253  0.462  0.157
O  0.810  0.995  0.892
O  0.995  0.810  0.392
O  0.806  0.497  0.976
O  0.594  0.742  0.795
O  0.911  0.534  0.674
O  0.497  0.806  0.476
O  0.163  0.955  0.808
O  0.652  0.391  0.879
O  0.742  0.594  0.295
O  0.534  0.911  0.174
O  0.955  0.163  0.308
O  0.609  0.348  0.621
O  0.391  0.652  0.379
O  0.045  0.837  0.692
O  0.466  0.089  0.826
O  0.258  0.406  0.705
O  0.348  0.609  0.121
O  0.837  0.045  0.192
O  0.503  0.194  0.524
O  0.089  0.466  0.326
O  0.406  0.258  0.205
O  0.194  0.503  0.024
O  0.005  0.190  0.608
O  0.190  0.005  0.108

<Q>
## Cu2S3O12 (GGA-PBE)

Data for a relaxed Cu2S3O12 crystal.

## Properties
ρ = 3.2 Mg/m³
SG = R-3 (148)
Crystal system = trigonal

Lattice parameters (Å, degrees): 8.880 8.880 8.880 55.02 55.02 55.02
Each line ends with the local moment (μB).
Element x y z (fractional)
Cu  0.146  0.146  0.146  0.86
Cu  0.344  0.344  0.344  0.84
Cu  0.656  0.656  0.656  0.84
Cu  0.854  0.854  0.854  0.86
S  0.749  0.043  0.458  -0.01
S  0.957  0.542  0.251  -0.01
S  0.542  0.251  0.957  -0.01
S  0.458  0.749  0.043  -0.01
S  0.043  0.458  0.749  -0.01
S  0.251  0.957  0.542  -0.01
O  0.529  0.202  0.155  0.15
O  0.202  0.155  0.529  0.15
O  0.795  0.026  0.604  0.14
O  0.875  0.136  0.256  0.21
O  0.155  0.529  0.202  0.15
O  0.744  0.125  0.864  0.21
O  0.974  0.396  0.205  0.14
O  0.539  0.170  0.489  0.14
O  0.830  0.511  0.461  0.14
O  0.396  0.205  0.974  0.14
O  0.864  0.744  0.125  0.21
O  0.511  0.461  0.830  0.14
O  0.489  0.539  0.170  0.14
O  0.136  0.256  0.875  0.21
O  0.604  0.795  0.026  0.14
O  0.170  0.489  0.539  0.14
O  0.461  0.830  0.511  0.14
O  0.026  0.604  0.795  0.14
O  0.256  0.875  0.136  0.21
O  0.845  0.471  0.798  0.15
O  0.125  0.864  0.744  0.21
O  0.205  0.974  0.396  0.14
O  0.798  0.845  0.471  0.15
O  0.471  0.798  0.845  0.15

Computed relative energies in units of eV/atom: <P> 0.009; <Q> 0.000

<P>
## Cu2SO5 (GGA-PBE)

Data for a relaxed Cu2SO5 crystal.

## Properties
ρ = 4.0 Mg/m³
SG = C2/m (12)
Crystal system = monoclinic

Lattice parameters (Å, degrees): 5.731 5.731 7.855 62.74 62.74 68.14
Each line ends with the local moment (μB).
Element x y z (fractional)
Cu  0.081  0.081  0.781  0.42
Cu  0.919  0.919  0.219  0.42
Cu  0.000  0.500  0.000  -0.30
Cu  0.500  0.000  0.000  -0.30
S  0.595  0.595  0.686  0.00
S  0.405  0.405  0.314  0.00
O  0.709  0.326  0.246  -0.01
O  0.674  0.291  0.754  -0.01
O  0.291  0.674  0.754  -0.01
O  0.326  0.709  0.246  -0.01
O  0.149  0.149  0.983  0.06
O  0.851  0.851  0.017  0.06
O  0.301  0.301  0.230  0.00
O  0.699  0.699  0.770  0.00
O  0.694  0.694  0.460  0.01
O  0.306  0.306  0.540  0.01

<Q>
## Cu2SO5 (GGA-PBE)

Data for a relaxed Cu2SO5 crystal.

## Properties
ρ = 3.6 Mg/m³
SG = Pnnm (58)
Crystal system = orthorhombic

Lattice parameters (Å, degrees): 5.994 9.059 8.114 90.00 90.00 90.00
Element x y z (fractional)
Cu  0.241  0.000  0.000
Cu  0.759  0.000  0.000
Cu  0.000  0.133  0.667
Cu  0.500  0.367  0.167
Cu  0.259  0.500  0.500
Cu  0.741  0.500  0.500
Cu  0.500  0.633  0.833
Cu  0.000  0.867  0.333
S  0.000  0.257  0.292
S  0.500  0.243  0.792
S  0.500  0.757  0.208
S  0.000  0.743  0.708
O  0.000  0.076  0.883
O  0.500  0.091  0.881
O  0.000  0.138  0.420
O  0.203  0.250  0.190
O  0.797  0.250  0.190
O  0.297  0.250  0.690
O  0.703  0.250  0.690
O  0.500  0.362  0.920
O  0.000  0.409  0.381
O  0.500  0.424  0.383
O  0.500  0.576  0.617
O  0.000  0.591  0.619
O  0.500  0.638  0.080
O  0.297  0.750  0.310
O  0.703  0.750  0.310
O  0.203  0.750  0.810
O  0.797  0.750  0.810
O  0.000  0.862  0.580
O  0.500  0.909  0.119
O  0.000  0.924  0.117

Computed relative energies in units of eV/atom: <P> 0.000; <Q> 0.011